[1]
A plane-wave DFT calculation with PBE-GGA was carried out for an optimized crystal structure of CaHo2ThSb4.

POSCAR file:
```
CaHo2ThSb4
1.0
6.280 0.342 0.000
-0.342 6.280 0.000
-2.969 -3.311 6.315
Sb Ho Th Ca
4 2 1 1
direct
0.186 0.186 0.498
0.437 0.938 0.000
0.938 0.437 0.000
0.688 0.688 0.502
0.187 0.687 0.500
0.687 0.187 0.500
0.937 0.937 0.000
0.439 0.439 0.000
```

Computed properties:
calculated total energy	-5.437	eV/atom
DOS at the Fermi energy	1.3	states/eV per cell
calculated volume	31.227	A^3/atom
total magnetization	0.000	μB/f.u.

[2]
A plane-wave DFT calculation with PBE-GGA was carried out for an optimized crystal structure of CaHoTh2Sb4.

POSCAR file:
```
CaHoTh2Sb4
1.0
-1.010 1.363 4.156
4.610 -5.547 2.939
4.087 6.428 -1.115
Th Ho Sb Ca
2 1 4 1
direct
0.500 0.000 0.500
0.000 0.500 0.500
0.000 0.000 0.000
0.500 0.755 0.757
0.000 0.752 0.247
0.000 0.248 0.753
0.500 0.245 0.243
0.500 0.500 0.000
```

Computed properties:
calculated total energy	-5.745	eV/atom
DOS at the Fermi energy	1.9	states/eV per cell
calculated volume	31.698	A^3/atom
total magnetization	0.000	μB/f.u.

[3]
A plane-wave DFT calculation with PBE-GGA was carried out for an optimized crystal structure of Ca3HoTh2Sb6.

POSCAR file:
```
Ca3HoTh2Sb6
1.0
7.818 -0.001 0.000
-3.907 6.771 0.000
-1.305 -2.259 7.363
Ho Sb Ca Th
1 6 3 2
direct
0.000 0.000 0.000
0.080 0.409 0.242
0.920 0.591 0.758
0.409 0.080 0.242
0.591 0.920 0.758
0.247 0.247 0.756
0.753 0.753 0.244
0.831 0.169 0.500
0.500 0.500 0.500
0.169 0.831 0.500
0.334 0.666 0.000
0.666 0.334 0.000
```

Computed properties:
calculated total energy	-5.145	eV/atom
DOS at the Fermi energy	6.7	states/eV per cell
calculated volume	32.477	A^3/atom
total magnetization	0.000	μB/f.u.

[4]
A plane-wave DFT calculation with PBE-GGA was carried out for an optimized crystal structure of CaHo2TmSb4.

POSCAR file:
```
CaHo2TmSb4
1.0
-0.376 2.238 -3.723
-6.608 2.942 2.436
1.401 6.502 3.767
Ca Sb Ho Tm
1 4 2 1
direct
0.500 0.500 0.000
0.000 0.756 0.742
0.500 0.751 0.254
0.500 0.249 0.746
0.000 0.244 0.258
0.000 0.000 0.000
0.500 0.000 0.500
0.000 0.500 0.500
```

Computed properties:
calculated total energy	-5.025	eV/atom
DOS at the Fermi energy	3.2	states/eV per cell
calculated volume	30.056	A^3/atom
total magnetization	0.000	μB/f.u.

[5]
A plane-wave DFT calculation with PBE-GGA was carried out for an optimized crystal structure of Ca2HoUSb4.

POSCAR file:
```
Ca2HoUSb4
1.0
4.466 0.000 0.000
0.000 7.654 0.126
0.000 -2.680 7.257
Ca Sb Ho U
2 4 1 1
direct
0.500 0.000 0.500
0.000 0.500 0.500
0.500 0.240 0.233
0.500 0.760 0.767
0.000 0.751 0.234
0.000 0.249 0.766
0.500 0.500 0.000
0.000 0.000 0.000
```

Computed properties:
calculated total energy	-5.322	eV/atom
DOS at the Fermi energy	6.1	states/eV per cell
calculated volume	31.199	A^3/atom
total magnetization	1.160	μB/f.u.

[6]
A plane-wave DFT calculation with PBE-GGA was carried out for an optimized crystal structure of CaYHo2Sb4.

POSCAR file:
```
CaYHo2Sb4
1.0
4.378 0.000 0.000
0.000 7.663 -0.178
0.000 2.670 7.182
Sb Ca Y Ho
4 1 1 2
direct
0.500 0.754 0.252
0.500 0.246 0.748
0.000 0.242 0.257
0.000 0.758 0.743
0.500 0.500 0.000
0.000 0.500 0.500
0.500 0.000 0.500
0.000 0.000 0.000
```

Computed properties:
calculated total energy	-5.300	eV/atom
DOS at the Fermi energy	3.3	states/eV per cell
calculated volume	30.375	A^3/atom
total magnetization	0.000	μB/f.u.

[7]
A plane-wave DFT calculation with PBE-GGA was carried out for an optimized crystal structure of Ca2HoZrSb4.

POSCAR file:
```
Ca2HoZrSb4
1.0
-2.466 -2.400 2.559
-2.833 -3.480 -5.995
6.307 -3.949 2.373
Sb Ho Ca Zr
4 1 2 1
direct
0.000 0.245 0.766
0.000 0.755 0.234
0.500 0.767 0.772
0.500 0.233 0.228
0.500 0.500 0.000
0.500 0.000 0.500
0.000 0.500 0.500
0.000 0.000 0.000
```

Computed properties:
calculated total energy	-5.073	eV/atom
DOS at the Fermi energy	3.1	states/eV per cell
calculated volume	29.770	A^3/atom
total magnetization	0.000	μB/f.u.

[8]
A plane-wave DFT calculation with PBE-GGA was carried out for an optimized crystal structure of CaHo2Sc.

POSCAR file:
```
CaHo2Sc
1.0
3.471 0.000 0.000
1.736 3.006 0.000
1.736 1.002 12.185
Ho Ca Sc
2 1 1
direct
0.906 0.906 0.282
0.094 0.094 0.718
0.000 0.000 0.000
0.500 0.500 0.500
```

Computed properties:
calculated total energy	-4.186	eV/atom
formation energy	0.74	eV/f.u.
DOS at the Fermi energy	5.3	states/eV per cell
calculated volume	31.787	A^3/atom
total magnetization	0.000	μB/f.u.
energy relative to the lowest polymorph listed for this composition	0.113	eV/atom